Record 1
The following is a PBE calculation of crystalline Mg3OsW at its relaxed geometry, from Alexandria via LeMat-Bulk.

```
Mg3OsW
1.0
5.0385 0.0000 0.0000
0.0000 5.0385 0.0000
0.0000 0.0000 5.0385
Mg Os W
3 1 1
Cartesian
0.0000 0.0000 2.5193
0.0000 2.5193 0.0000
2.5193 0.0000 0.0000
2.5193 2.5193 2.5193
0.0000 0.0000 0.0000
```

energy of formation = 2.2584 eV/atom
distance to the lowest polymorph of the same formula = 592.8 meV per atom
total DFT energy (no corrections) = -3.535 eV/atom
calculated volume = 127.9 Å³ per cell



Record 2
The following is a PBE calculation of crystalline MgOs3W at its relaxed geometry, from Alexandria via LeMat-Bulk.

```
MgOs3W
1.0
4.7365 0.0000 0.0000
0.0000 4.7365 0.0000
0.0000 0.0000 4.7365
Mg Os W
1 3 1
Cartesian
0.0000 0.0000 0.0000
0.0000 2.3682 2.3682
2.3682 0.0000 2.3682
2.3682 2.3682 0.0000
2.3682 2.3682 2.3682
```

energy of formation = 1.8681 eV/atom
distance to the lowest polymorph of the same formula = 0.0 meV per atom
total DFT energy (no corrections) = -7.779 eV/atom
calculated volume = 106.3 Å³ per cell



Record 3
The following is a PBE calculation of crystalline Mg2OsW at its relaxed geometry, from Alexandria via LeMat-Bulk.

```
Mg2OsW
1.0
3.3565 0.0000 0.0000
0.0000 4.6671 0.0000
0.0000 0.0000 8.7387
Mg Os W
4 2 2
Cartesian
0.0000 0.0000 0.0000
0.0000 2.3336 2.0358
1.6783 0.0000 6.4052
1.6783 2.3336 4.3693
0.0000 2.3336 6.6004
1.6783 0.0000 2.2311
0.0000 0.0000 4.0304
1.6783 2.3336 8.3998
```

energy of formation = 0.3352 eV/atom
distance to the lowest polymorph of the same formula = 249.6 meV per atom
total DFT energy (no corrections) = -6.508 eV/atom
calculated volume = 136.9 Å³ per cell



Record 4
The following is a PBE calculation of crystalline Mg2OsW at its relaxed geometry, from Alexandria via LeMat-Bulk.

```
Mg2OsW
1.0
3.1785 0.0000 0.0000
0.0000 4.3806 0.0000
0.0000 0.0000 4.6576
Mg Os W
2 1 1
Cartesian
0.0000 0.0000 0.0000
1.5892 2.1903 0.0000
0.0000 2.1903 2.3288
1.5892 0.0000 2.3288
```

energy of formation = 0.2796 eV/atom
distance to the lowest polymorph of the same formula = 194.0 meV per atom
total DFT energy (no corrections) = -6.563 eV/atom
calculated volume = 64.8 Å³ per cell



Record 5
The following is a PBE calculation of crystalline Mg2OsW at its relaxed geometry, from Alexandria via LeMat-Bulk.

```
Mg2OsW
1.0
8.9565 0.0000 0.0000
0.0000 2.8461 0.0000
-0.5278 0.0000 5.2399
Mg Os W
4 2 2
Cartesian
0.0000 0.0000 0.0000
1.7600 0.0000 3.9781
4.4783 1.4230 0.0000
6.2382 1.4230 3.9781
4.2177 0.0000 2.4974
8.6960 1.4230 2.4974
2.1003 1.4230 1.5017
6.5786 0.0000 1.5017
```

energy of formation = 0.3156 eV/atom
distance to the lowest polymorph of the same formula = 230.0 meV per atom
total DFT energy (no corrections) = -6.527 eV/atom
calculated volume = 133.6 Å³ per cell



Record 6
The following is a PBE calculation of crystalline Mg2OsW at its relaxed geometry, from Alexandria via LeMat-Bulk.

```
Mg2OsW
1.0
2.7182 0.0000 0.0000
0.0000 4.6353 0.0000
-1.2061 0.0000 5.1591
Mg Os W
2 1 1
Cartesian
0.2739 0.0000 1.3112
1.2382 0.0000 3.8479
-0.6030 2.3177 2.5795
1.3591 2.3177 0.0000
```

energy of formation = 0.3388 eV/atom
distance to the lowest polymorph of the same formula = 253.2 meV per atom
total DFT energy (no corrections) = -6.504 eV/atom
calculated volume = 65.0 Å³ per cell



Record 7
The following is a PBE calculation of crystalline Mg2OsW at its relaxed geometry, from Alexandria via LeMat-Bulk.

```
Mg2OsW
1.0
7.3650 0.0000 0.0000
0.0000 7.3650 0.0000
0.0000 0.0000 5.2364
Mg Os W
8 4 4
Cartesian
1.7106 5.5238 0.6546
1.8413 1.7106 4.5819
1.8413 1.9719 1.9637
1.9719 5.5238 3.2728
5.3931 1.8413 3.2728
5.5238 5.3931 1.9637
5.5238 5.6545 4.5819
5.6545 1.8413 0.6546
0.0000 0.0000 0.0000
0.0000 3.6825 1.3091
3.6825 0.0000 3.9273
3.6825 3.6825 2.6182
0.0000 0.0000 2.6182
0.0000 3.6825 3.9273
3.6825 0.0000 1.3091
3.6825 3.6825 0.0000
```

energy of formation = 1.0722 eV/atom
distance to the lowest polymorph of the same formula = 986.6 meV per atom
total DFT energy (no corrections) = -5.771 eV/atom
calculated volume = 284.0 Å³ per cell



Record 8
The following is a PBE calculation of crystalline Mg2OsW at its relaxed geometry, from Alexandria via LeMat-Bulk.

```
Mg2OsW
1.0
2.7177 0.0000 0.0000
0.0000 2.7177 0.0000
0.0000 0.0000 8.8856
Mg Os W
2 1 1
Cartesian
0.0000 0.0000 2.1376
0.0000 0.0000 6.7480
1.3589 1.3589 0.0000
1.3589 1.3589 4.4428
```

energy of formation = 0.4377 eV/atom
distance to the lowest polymorph of the same formula = 352.1 meV per atom
total DFT energy (no corrections) = -6.405 eV/atom
calculated volume = 65.6 Å³ per cell



Record 9
The following is a PBE calculation of crystalline Mg3OsW at its relaxed geometry, from Alexandria via LeMat-Bulk.

```
Mg3OsW
1.0
4.7907 0.0000 0.0000
0.0000 4.7907 0.0000
0.0000 0.0000 4.7907
Mg Os W
3 1 1
Cartesian
0.0000 0.0000 2.3953
0.0000 2.3953 0.0000
2.3953 0.0000 0.0000
0.0000 0.0000 0.0000
2.3953 2.3953 2.3953
```

energy of formation = 1.6656 eV/atom
distance to the lowest polymorph of the same formula = 0.0 meV per atom
total DFT energy (no corrections) = -4.128 eV/atom
calculated volume = 109.9 Å³ per cell



Record 10
The following is a PBE calculation of crystalline Mg2OsW at its relaxed geometry, from Alexandria via LeMat-Bulk.

```
Mg2OsW
1.0
6.3752 0.0000 0.0000
0.0000 6.3752 0.0000
0.0000 0.0000 6.3752
Mg Os W
8 4 4
Cartesian
1.5938 1.5938 1.5938
1.5938 1.5938 4.7814
1.5938 4.7814 1.5938
1.5938 4.7814 4.7814
4.7814 1.5938 1.5938
4.7814 1.5938 4.7814
4.7814 4.7814 1.5938
4.7814 4.7814 4.7814
0.0000 0.0000 0.0000
0.0000 3.1876 3.1876
3.1876 0.0000 3.1876
3.1876 3.1876 0.0000
0.0000 0.0000 3.1876
0.0000 3.1876 0.0000
3.1876 0.0000 0.0000
3.1876 3.1876 3.1876
```

energy of formation = 0.8331 eV/atom
distance to the lowest polymorph of the same formula = 747.5 meV per atom
total DFT energy (no corrections) = -6.010 eV/atom
calculated volume = 259.1 Å³ per cell



Record 11
The following is a PBE calculation of crystalline Mg2OsW at its relaxed geometry, from Alexandria via LeMat-Bulk.

```
Mg2OsW
1.0
2.7479 0.0000 0.0000
0.0000 4.4876 0.0000
0.0000 0.0000 5.3045
Mg Os W
2 1 1
Cartesian
0.0000 0.0000 1.3064
0.0000 0.0000 3.9981
1.3739 2.2438 0.0000
1.3739 2.2438 2.6523
```

energy of formation = 0.4046 eV/atom
distance to the lowest polymorph of the same formula = 319.0 meV per atom
total DFT energy (no corrections) = -6.438 eV/atom
calculated volume = 65.4 Å³ per cell



Record 12
The following is a PBE calculation of crystalline Mg2OsW at its relaxed geometry, from Alexandria via LeMat-Bulk.

```
Mg2OsW
1.0
3.0870 0.0000 0.0000
0.0000 4.6688 0.0000
0.0000 0.0000 9.5096
Mg Os W
4 2 2
Cartesian
0.0000 0.0000 0.0000
0.0000 2.3344 2.6933
1.5435 0.0000 2.6933
1.5435 2.3344 0.0000
0.0000 2.3344 7.2375
1.5435 0.0000 7.2375
0.0000 0.0000 5.1173
1.5435 2.3344 5.1173
```

energy of formation = 0.2909 eV/atom
distance to the lowest polymorph of the same formula = 205.3 meV per atom
total DFT energy (no corrections) = -6.552 eV/atom
calculated volume = 137.1 Å³ per cell



Record 13
The following is a PBE calculation of crystalline Mg2OsW at its relaxed geometry, from Alexandria via LeMat-Bulk.

```
Mg2OsW
1.0
2.8458 0.0000 0.0000
-1.4229 2.4645 0.0000
0.0000 0.0000 28.0853
Mg Os W
6 3 3
Cartesian
0.0000 0.0000 6.9184
0.0000 0.0000 21.1670
0.0000 1.6430 11.8052
0.0000 1.6430 25.6419
1.4229 0.8215 2.4434
1.4229 0.8215 16.2801
0.0000 0.0000 14.0427
0.0000 1.6430 4.6809
1.4229 0.8215 23.4044
0.0000 0.0000 0.0000
0.0000 1.6430 18.7236
1.4229 0.8215 9.3618
```

energy of formation = 0.4204 eV/atom
distance to the lowest polymorph of the same formula = 334.8 meV per atom
total DFT energy (no corrections) = -6.423 eV/atom
calculated volume = 197.0 Å³ per cell



Record 14
The following is a PBE calculation of crystalline Mg2OsW at its relaxed geometry, from Alexandria via LeMat-Bulk.

```
Mg2OsW
1.0
3.7971 0.0000 0.0000
0.0000 3.7971 0.0000
0.0000 0.0000 9.0769
Mg Os W
4 2 2
Cartesian
0.0000 1.8986 2.2692
0.0000 1.8986 6.8077
1.8986 0.0000 2.2692
1.8986 0.0000 6.8077
0.0000 0.0000 0.0000
1.8986 1.8986 4.5385
0.0000 0.0000 4.5385
1.8986 1.8986 0.0000
```

energy of formation = 0.3607 eV/atom
distance to the lowest polymorph of the same formula = 275.1 meV per atom
total DFT energy (no corrections) = -6.482 eV/atom
calculated volume = 130.9 Å³ per cell